Mg4Ag at its PBEsol-relaxed geometry. Source: the Alexandria database, functional meta-GGA SCAN.

Results
Relative energy among the computed polymorphs ... 0.40 eV per formula unit
Total magnetic moment ... 0.01 μB per atom

Cell and atoms, written as CIF:
```
data_Mg4Ag
_cell_length_a 3.1386
_cell_length_b 3.1386
_cell_length_c 36.5278
_cell_angle_alpha 90.00
_cell_angle_beta 90.00
_cell_angle_gamma 120.00
_space_group_name_H-M_alt 'R -3 m'
_space_group_IT_number 166
_space_group_name_Hall '-R 3 2"'
loop_
_atom_site_label
_atom_site_type_symbol
_atom_site_fract_x
_atom_site_fract_y
_atom_site_fract_z
Mg1 Mg 0.0000 0.0000 0.1064
Mg2 Mg 0.0000 0.0000 0.2981
Ag1 Ag 0.0000 0.0000 0.5000
```